## Ag2TeAs (PBE-GGA)

Data for an optimized crystal structure of Ag2TeAs.

Lattice parameters (Å, degrees): 3.000 4.188 7.101 90.00 100.21 90.00
Atoms (fractional coordinates):
Ag  0.000  0.000  0.000
Ag  0.417  0.500  0.779
Te  0.718  0.000  0.530
As  0.570  0.500  0.180

Crystal system = monoclinic
Volume = 22.0 Å³/atom
Formation energy from raw total energies = 116.7 meV per atom
Energy relative to the lowest polymorph listed for this composition = 30 meV/atom
Calculated density = 7.910 g/cm3